[1]
The following is a PBE calculation of Sr3In3Rh2 after structural relaxation, from the Alexandria database.

Its crystal system is orthorhombic. Its formation energy is -0.463 eV per atom.

The space group is Pnma (No. 62) and the conventional cell measures 8.538, 16.562 and 6.292 Å, with angles of 90.00, 90.00 and 90.00 degrees. The inequivalent atoms are Sr at (0.039, 0.109, 0.102), Sr at (0.187, 0.250, 0.623), In at (0.161, 0.750, 0.599), In at (0.168, 0.038, 0.605) and Rh at (0.125, 0.604, 0.386).

---

[2]
The following is a PBE calculation of SrInRh2 after structural relaxation, from the Alexandria database.

Its crystal system is cubic. Its formation energy is 0.118 eV per atom.

The space group is F-43m (No. 216) and the conventional cell measures 6.884, 6.884 and 6.884 Å, with angles of 90.00, 90.00 and 90.00 degrees. The inequivalent atoms are Sr at (0.000, 0.000, 0.000), In at (0.250, 0.250, 0.750), Rh at (0.000, 0.000, 0.500) and Rh at (0.250, 0.250, 0.250).

---

[3]
The following is a PBE calculation of SrIn5Rh3 after structural relaxation, from the Alexandria database.

Its crystal system is orthorhombic. Its formation energy is -0.306 eV per atom.

The space group is Cmcm (No. 63) and the conventional cell measures 4.275, 14.041 and 14.028 Å, with angles of 90.00, 90.00 and 90.00 degrees. The inequivalent atoms are Sr at (0.000, 0.165, 0.250), In at (0.000, 0.000, 0.000), In at (0.000, 0.206, 0.573), In at (0.000, 0.452, 0.150), Rh at (0.000, 0.122, 0.750) and Rh at (0.000, 0.390, 0.535).

---

[4]
The following is a PBE calculation of Sr3In3Rh2 after structural relaxation, from the Alexandria database.

Its crystal system is monoclinic. Its formation energy is -0.435 eV per atom.

The space group is C2/m (No. 12) and the conventional cell measures 18.031, 4.547 and 5.622 Å, with angles of 90.00, 99.69 and 90.00 degrees. The inequivalent atoms are Sr at (0.000, 0.000, 0.000), Sr at (0.163, 0.000, 0.575), In at (0.000, 0.500, 0.500), In at (0.141, 0.500, 0.069) and Rh at (0.222, 0.000, 0.090).

---

[5]
The following is a PBE calculation of Sr2In9Rh3 after structural relaxation, from the Alexandria database.

Its crystal system is monoclinic. Its formation energy is -0.407 eV per atom.

The space group is C2/c (No. 15) and the conventional cell measures 14.392, 8.263 and 11.723 Å, with angles of 90.00, 114.19 and 90.00 degrees. The inequivalent atoms are Sr at (0.169, 0.083, 0.250), In at (0.000, 0.358, 0.250), In at (0.060, 0.081, 0.927), In at (0.103, 0.414, 0.057), In at (0.110, 0.309, 0.749), In at (0.227, 0.416, 0.430), Rh at (0.086, 0.245, 0.501) and Rh at (0.250, 0.250, 0.000).

---

[6]
The following is a PBE calculation of Sr3In2Rh7 after structural relaxation, from the Alexandria database.

Its crystal system is trigonal. Its formation energy is -0.342 eV per atom.

The space group is R-3m (No. 166, hexagonal axes) and the conventional cell measures 5.6682, 5.6682 and 25.7706 Å, with angles of 90.00, 90.00 and 120.00 degrees. The inequivalent atoms are Sr at (0.0000, 0.0000, 0.0000), Sr at (0.0000, 0.0000, 0.1394), In at (0.0000, 0.0000, 0.3345), Rh at (0.0000, 0.0000, 0.5000) and Rh at (0.0031, 0.5016, 0.9153).

---

[7]
The following is a PBE calculation of SrIn8Rh2 after structural relaxation, from the Alexandria database.

The value obtained for the offset from the most stable computed form is 301 meV per atom. Its crystal system is tetragonal. Its formation energy is -0.048 eV per atom.

The space group is P4/mmm (No. 123) and the conventional cell measures 6.339, 6.339 and 8.633 Å, with angles of 90.00, 90.00 and 90.00 degrees. The inequivalent atoms are Sr at (0.000, 0.000, 0.000), In at (0.254, 0.254, 0.312) and Rh at (0.000, 0.500, 0.500).

---

[8]
The following is a PBE calculation of SrInRh2 after structural relaxation, from the Alexandria database.

Its crystal system is monoclinic. Its formation energy is -0.145 eV per atom.

The space group is Cm (No. 8) and the conventional cell measures 10.746, 3.159 and 4.932 Å, with angles of 90.00, 108.40 and 90.00 degrees. The inequivalent atoms are Sr at (0.000, 0.000, 0.000), In at (0.214, 0.000, 0.635), Rh at (0.263, 0.500, 0.170) and Rh at (0.473, 0.000, 0.492).

---

[9]
The following is a PBE calculation of Sr2InRh after structural relaxation, from the Alexandria database.

Its crystal system is tetragonal. Its formation energy is -0.233 eV per atom.

The space group is P4mm (No. 99) and the conventional cell measures 3.659, 3.659 and 9.065 Å, with angles of 90.00, 90.00 and 90.00 degrees. The inequivalent atoms are Sr at (0.000, 0.000, 0.000), Sr at (0.500, 0.500, 0.401), In at (0.000, 0.000, 0.648) and Rh at (0.500, 0.500, 0.779).

---

[10]
The following is a PBE calculation of Sr2In6Rh after structural relaxation, from the Alexandria database.

Its crystal system is trigonal. Its formation energy is -0.373 eV per atom.

The space group is P-3m1 (No. 164) and the conventional cell measures 6.7233, 6.7233 and 6.1143 Å, with angles of 90.00, 90.00 and 120.00 degrees. The inequivalent atoms are Sr at (0.3333, 0.6667, 0.1849), In at (0.1709, 0.3418, 0.6945) and Rh at (0.0000, 0.0000, 0.0000).

---

[11]
The following is a PBE calculation of SrInRh2 after structural relaxation, from the Alexandria database.

Its crystal system is tetragonal. Its formation energy is -0.052 eV per atom.

The space group is I-4m2 (No. 119) and the conventional cell measures 4.082, 4.082 and 9.621 Å, with angles of 90.00, 90.00 and 90.00 degrees. The inequivalent atoms are Sr at (0.000, 0.000, 0.000), In at (0.000, 0.500, 0.750), Rh at (0.000, 0.000, 0.500) and Rh at (0.000, 0.500, 0.250).

---

[12]
The following is a PBE calculation of Sr3InRh2 after structural relaxation, from the Alexandria database.

Its crystal system is trigonal. Its formation energy is -0.276 eV per atom.

The space group is R-3c (No. 167, hexagonal axes) and the conventional cell measures 9.0397, 9.0397 and 15.6596 Å, with angles of 90.00, 90.00 and 120.00 degrees. The inequivalent atoms are Sr at (0.0000, 0.3084, 0.2500), In at (0.0000, 0.0000, 0.0000) and Rh at (0.0000, 0.0000, 0.1662).

---

[13]
The following is a PBE calculation of Sr4InRh after structural relaxation, from the Alexandria database.

The value obtained for the offset from the most stable computed form is 940 meV per atom. Its crystal system is cubic. Its formation energy is 0.654 eV per atom.

The space group is F-43m (No. 216) and the conventional cell measures 9.417, 9.417 and 9.417 Å, with angles of 90.00, 90.00 and 90.00 degrees. The inequivalent atoms are Sr at (0.124, 0.124, 0.376), In at (0.000, 0.000, 0.000) and Rh at (0.250, 0.250, 0.750).

---

[14]
The following is a PBE calculation of SrIn3Rh after structural relaxation, from the Alexandria database.

Its crystal system is cubic. Its formation energy is 1.442 eV per atom.

The space group is Pm-3m (No. 221) and the conventional cell measures 5.942, 5.942 and 5.942 Å, with angles of 90.00, 90.00 and 90.00 degrees. The inequivalent atoms are Sr at (0.000, 0.000, 0.000), In at (0.000, 0.000, 0.500) and Rh at (0.500, 0.500, 0.500).

---

[15]
The following is a PBE calculation of Sr3InRh8 after structural relaxation, from the Alexandria database.

Its crystal system is trigonal. Its formation energy is -0.218 eV per atom.

The space group is R3m (No. 160, hexagonal axes) and the conventional cell measures 5.4224, 5.4224 and 26.5837 Å, with angles of 90.00, 90.00 and 120.00 degrees. The inequivalent atoms are Sr at (0.0000, 0.0000, 0.0000), Sr at (0.0000, 0.0000, 0.1256), Sr at (0.0000, 0.0000, 0.6244), In at (0.0000, 0.0000, 0.4997), Rh at (0.0000, 0.0000, 0.3131), Rh at (0.0000, 0.0000, 0.8131), Rh at (0.0036, 0.5018, 0.0655) and Rh at (0.1682, 0.3365, 0.8933).

---

[16]
The following is a PBE calculation of SrIn2Rh2 after structural relaxation, from the Alexandria database.

Its crystal system is tetragonal. Its formation energy is -0.412 eV per atom.

The space group is I4/mmm (No. 139) and the conventional cell measures 4.515, 4.515 and 11.214 Å, with angles of 90.00, 90.00 and 90.00 degrees. The inequivalent atoms are Sr at (0.000, 0.000, 0.000), In at (0.000, 0.500, 0.250) and Rh at (0.000, 0.000, 0.388).

---

[17]
The following is a PBE calculation of Sr2InRh after structural relaxation, from the Alexandria database.

Its crystal system is orthorhombic. Its formation energy is -0.347 eV per atom.

The space group is Amm2 (No. 38) and the conventional cell measures 4.552, 4.676 and 11.790 Å, with angles of 90.00, 90.00 and 90.00 degrees. The inequivalent atoms are Sr at (0.000, 0.000, 0.000), Sr at (0.500, 0.000, 0.285), In at (0.000, 0.000, 0.701) and Rh at (0.500, 0.000, 0.581).

---

[18]
The following is a PBE calculation of SrIn12Rh6 after structural relaxation, from the Alexandria database.

Its crystal system is trigonal. Its formation energy is -0.322 eV per atom.

The space group is R-3m (No. 166, hexagonal axes) and the conventional cell measures 12.4846, 12.4846 and 9.2889 Å, with angles of 90.00, 90.00 and 120.00 degrees. The inequivalent atoms are Sr at (0.0000, 0.0000, 0.0000), In at (0.0000, 0.3795, 0.5000), In at (0.0878, 0.1755, 0.3287) and Rh at (0.0521, 0.5260, 0.2583).

---

[19]
The following is a PBE calculation of Sr2TaInRh after structural relaxation, from the Alexandria database.

Its crystal system is tetragonal. Its formation energy is 1.346 eV per atom.

The space group is P4/mmm (No. 123) and the conventional cell measures 5.904, 5.904 and 5.205 Å, with angles of 90.00, 90.00 and 90.00 degrees. The inequivalent atoms are Sr at (0.000, 0.500, 0.000), Ta at (0.000, 0.000, 0.500), In at (0.000, 0.000, 0.000) and Rh at (0.500, 0.500, 0.500).

---

[20]
The following is a PBE calculation of SrIn2TeRh after structural relaxation, from the Alexandria database.

Its crystal system is tetragonal. The calculation puts the formation energy (no corrections) at -0.537 eV/atom.

The space group is P4/mmm (No. 123) and the conventional cell measures 5.126, 5.126 and 5.840 Å, with angles of 90.00, 90.00 and 90.00 degrees. The inequivalent atoms are Sr at (0.000, 0.000, 0.000), In at (0.000, 0.500, 0.500), Te at (0.500, 0.500, 0.000) and Rh at (0.000, 0.000, 0.500).

---

[21]
The following is a PBE calculation of Sr2TlIn2Rh5 after structural relaxation, from the Alexandria database.

Its crystal system is tetragonal. Its formation energy is -0.186 eV per atom.

The space group is P4/mbm (No. 127) and the conventional cell measures 10.509, 10.509 and 3.724 Å, with angles of 90.00, 90.00 and 90.00 degrees. The inequivalent atoms are Sr at (0.173, 0.327, 0.000), Tl at (0.000, 0.000, 0.000), In at (0.127, 0.627, 0.000), Rh at (0.000, 0.500, 0.500) and Rh at (0.060, 0.801, 0.500).

---

no.,V (A^3/atom)
1,27.803
2,20.391
3,23.387
4,28.397
5,22.707
6,19.918
7,31.533
8,19.859
9,30.341
10,26.598
11,20.035
12,30.784
13,34.798
14,41.964
15,18.803
16,22.856
17,31.369
18,21.997
19,36.279
20,30.689
21,20.564